No. 1
Pm2TeS2: optimized geometry, PBE-GGA.

Results
D(E_F) (states/eV/f.u.): 0.0
ΔE_f (raw) (eV/atom): -1.753

Lattice parameters (Å, degrees): 7.267 7.267 7.142 112.96 112.96 97.55
Positions (direct):
Pm  0.412  0.588  0.250
Pm  0.828  0.172  0.250
Pm  0.172  0.828  0.750
Pm  0.588  0.412  0.750
Te  0.126  0.874  0.250
Te  0.874  0.126  0.750
S  0.772  0.538  0.530
S  0.462  0.228  0.970
S  0.538  0.772  0.030
S  0.228  0.462  0.470


No. 2
TcOsRu2Au: optimized geometry, PBE-GGA.

Results
ΔH_f (0 K) (eV/atom): 1.9519
D(E_F) (states/eV/f.u.): 6.3

Lattice parameters (Å, degrees): 4.611 5.033 4.611 90.00 90.00 90.00
Each line ends with the local moment (μB).
Positions (direct):
Os  0.000  0.000  0.000  0.03
Au  0.000  0.500  0.000  0.03
Tc  0.500  0.500  0.500  3.38
Ru  0.000  0.000  0.500  0.32
Ru  0.500  0.000  0.000  0.41


No. 3
UZnTc: optimized geometry, PBE-GGA.

Results
ΔH_f (0 K) (eV/atom): 0.3957
D(E_F) (states/eV/f.u.): 3.8

Lattice parameters (Å, degrees): 3.015 3.015 14.250 83.93 83.93 60.00
Positions (direct):
Zn  0.692  0.692  0.924
Zn  0.308  0.308  0.076
U  0.865  0.865  0.406
U  0.135  0.135  0.594
Tc  0.754  0.754  0.738
Tc  0.246  0.246  0.262


No. 4
Ac2HgAs: optimized geometry, PBE-GGA.

Results
ΔH_f (0 K) (eV/atom): -0.6698
D(E_F) (states/eV/f.u.): 4.6

Lattice parameters (Å, degrees): 5.602 5.602 5.602 60.00 60.00 60.00
Positions (direct):
As  0.500  0.500  0.500
Ac  0.250  0.250  0.250
Ac  0.750  0.750  0.750
Hg  0.000  0.000  0.000


No. 5
Nd4Dy: optimized geometry, PBE-GGA.

Results
ΔH_f (0 K) (eV/atom): 0.0171
D(E_F) (states/eV/f.u.): 7.3

Lattice parameters (Å, degrees): 3.658 3.658 13.165 97.99 97.99 90.00
Positions (direct):
Nd  0.598  0.598  0.196
Nd  0.199  0.199  0.398
Nd  0.801  0.801  0.602
Nd  0.402  0.402  0.804
Dy  0.000  0.000  0.000


No. 6
Al2IF: optimized geometry, PBE-GGA.

Results
D(E_F) (states/eV/f.u.): 0.6
ΔE_f (raw) (eV/atom): -0.667

Lattice parameters (Å, degrees): 5.045 5.045 8.544 72.83 72.83 90.00
Positions (direct):
I  0.000  0.000  0.000
I  0.750  0.250  0.500
Al  0.422  0.125  0.250
Al  0.328  0.625  0.250
Al  0.375  0.578  0.750
Al  0.875  0.672  0.750
F  0.500  0.500  0.000
F  0.250  0.750  0.500


No. 7
NdHoPuCd: optimized geometry, PBE-GGA.

Results
ΔH_f (0 K) (eV/atom): 0.0758
D(E_F) (states/eV/f.u.): 15.1

Lattice parameters (Å, degrees): 5.458 5.458 5.458 60.00 60.00 60.00
Each line ends with the local moment (μB).
Positions (direct):
Cd  0.250  0.250  0.250  -0.02
Nd  0.500  0.500  0.500  0.16
Ho  0.000  0.000  0.000  0.27
Pu  0.750  0.750  0.750  5.64


No. 8
Ac3Sm2Pb3: optimized geometry, PBE-GGA.

Results
ΔH_f (0 K) (eV/atom): -0.5064
D(E_F) (states/eV/f.u.): 9.3

Lattice parameters (Å, degrees): 6.999 9.763 9.763 120.00 90.00 90.00
Positions (direct):
Ac  0.750  0.245  0.000
Ac  0.750  0.755  0.755
Ac  0.750  0.000  0.245
Ac  0.250  0.755  0.000
Ac  0.250  0.245  0.245
Ac  0.250  0.000  0.755
Sm  0.000  0.333  0.667
Sm  0.500  0.667  0.333
Sm  0.000  0.667  0.333
Sm  0.500  0.333  0.667
Pb  0.750  0.600  0.000
Pb  0.750  0.400  0.400
Pb  0.750  0.000  0.600
Pb  0.250  0.400  0.000
Pb  0.250  0.600  0.600
Pb  0.250  0.000  0.400